Material: YBiSe2
Method: DFT, GGA-PBE
State: optimized geometry

Unit cell a=7.8799 b=7.8799 c=6.6525 alpha=53.68 beta=53.68 gamma=90.00
Atoms (fractional coordinates):
Y 0.5000 0.5000 0.0000
Y 0.2500 0.7500 0.5000
Bi 0.0000 0.0000 0.0000
Bi 0.7500 0.2500 0.5000
Se 0.6077 0.1250 0.2500
Se 0.1423 0.6250 0.2500
Se 0.3750 0.3923 0.7500
Se 0.8750 0.8577 0.7500

Formation energy (no corrections), meV/atom: -846
Symmetry: I-42d
Density of states at the Fermi level, states/eV/atom: 0.09
Electronic total energy, Ry per atom: -0.3803